Record 1
# Ba5Cd2Ag5, optimized geometry, DFT PBE
# theoretical density	5.7	g/cm3
# calculated volume	35.0	Å³ per atom
# formation energy	-0.241	eV per atom
data_Ba5Cd2Ag5
_chemical_formula_sum 'Ba10 Cd4 Ag10'
_cell_length_a 17.720
_cell_length_b 4.669
_cell_length_c 13.468
_cell_angle_alpha 90.00
_cell_angle_beta 131.04
_cell_angle_gamma 90.00
_symmetry_space_group_name_H-M 'C 1 2/m 1'
_symmetry_Int_Tables_number 12
loop_
_symmetry_equiv_pos_as_xyz
'x,y,z'
'-x,-y,-z'
'-x,y,-z'
'x,-y,z'
'x+1/2,y+1/2,z'
'-x+1/2,-y+1/2,-z'
'-x+1/2,y+1/2,-z'
'x+1/2,-y+1/2,z'
loop_
_atom_site_label
_atom_site_fract_x
_atom_site_fract_y
_atom_site_fract_z
Ba1 0.000 0.000 0.000
Ba2 0.100 0.000 0.413
Ba3 0.198 0.000 0.825
Cd1 0.152 0.500 0.265
Ag1 0.000 0.500 0.500
Ag2 0.058 0.500 0.854
Ag3 0.224 0.500 0.661

=====

Record 2
# BaCd4Ag8, optimized geometry, DFT PBE
# theoretical density	8.6	g/cm3
# calculated volume	21.6	Å³ per atom
# formation energy	-0.081	eV per atom
data_BaCd4Ag8
_chemical_formula_sum 'Ba2 Cd8 Ag16'
_cell_length_a 9.900
_cell_length_b 9.900
_cell_length_c 5.731
_cell_angle_alpha 90.00
_cell_angle_beta 90.00
_cell_angle_gamma 90.00
_symmetry_space_group_name_H-M 'I 4/m m m'
_symmetry_Int_Tables_number 139
_symmetry_space_group_name_Hall '-I 4 2'
loop_
_atom_site_label
_atom_site_fract_x
_atom_site_fract_y
_atom_site_fract_z
Ba1 0.000 0.000 0.000
Cd1 0.250 0.250 0.250
Ag1 0.000 0.226 0.500
Ag2 0.000 0.355 0.000

=====

Record 3
# BaCd2Ag, optimized geometry, DFT PBE
# theoretical density	6.1	g/cm3
# calculated volume	31.8	Å³ per atom
# formation energy	-0.166	eV per atom
data_BaCd2Ag
_chemical_formula_sum 'Ba1 Cd2 Ag1'
_cell_length_a 4.216
_cell_length_b 5.126
_cell_length_c 5.881
_cell_angle_alpha 90.00
_cell_angle_beta 90.21
_cell_angle_gamma 90.00
_symmetry_space_group_name_H-M 'P 1 2/m 1'
_symmetry_Int_Tables_number 10
loop_
_symmetry_equiv_pos_as_xyz
'x,y,z'
'-x,-y,-z'
'-x,y,-z'
'x,-y,z'
loop_
_atom_site_label
_atom_site_fract_x
_atom_site_fract_y
_atom_site_fract_z
Ba1 0.000 0.000 0.000
Cd1 0.499 0.500 0.742
Ag1 0.500 0.000 0.500

=====

Record 4
# Ba2CdAg2, optimized geometry, DFT PBE
# theoretical density	6.0	g/cm3
# calculated volume	33.6	Å³ per atom
# formation energy	-0.287	eV per atom
# energy relative to the lowest polymorph listed for this composition	0	meV per atom
data_Ba2CdAg2
_chemical_formula_sum 'Ba8 Cd4 Ag8'
_cell_length_a 12.490
_cell_length_b 4.968
_cell_length_c 12.292
_cell_angle_alpha 90.00
_cell_angle_beta 118.36
_cell_angle_gamma 90.00
_symmetry_space_group_name_H-M 'C 1 2/m 1'
_symmetry_Int_Tables_number 12
loop_
_symmetry_equiv_pos_as_xyz
'x,y,z'
'-x,-y,-z'
'-x,y,-z'
'x,-y,z'
'x+1/2,y+1/2,z'
'-x+1/2,-y+1/2,-z'
'-x+1/2,y+1/2,-z'
'x+1/2,-y+1/2,z'
loop_
_atom_site_label
_atom_site_fract_x
_atom_site_fract_y
_atom_site_fract_z
Ba1 0.015 0.000 0.337
Ba2 0.193 0.000 0.115
Cd1 0.228 0.500 0.356
Ag1 0.010 0.500 0.886
Ag2 0.135 0.500 0.559

=====

Record 5
# BaCd2Ag, optimized geometry, DFT PBE
# theoretical density	6.6	g/cm3
# calculated volume	29.7	Å³ per atom
# formation energy	-0.145	eV per atom
data_BaCd2Ag
_chemical_formula_sum 'Ba2 Cd4 Ag2'
_cell_length_a 4.170
_cell_length_b 5.739
_cell_length_c 9.937
_cell_angle_alpha 90.00
_cell_angle_beta 90.00
_cell_angle_gamma 90.00
_symmetry_space_group_name_H-M 'I m m m'
_symmetry_Int_Tables_number 71
_symmetry_space_group_name_Hall '-I 2 2'
loop_
_atom_site_label
_atom_site_fract_x
_atom_site_fract_y
_atom_site_fract_z
Ba1 0.000 0.000 0.000
Cd1 0.000 0.500 0.211
Ag1 0.000 0.000 0.500

=====

Record 6
# BaCd2Ag5, optimized geometry, DFT PBE
# theoretical density	7.7	g/cm3
# calculated volume	24.3	Å³ per atom
# formation energy	-0.074	eV per atom
data_BaCd2Ag5
_chemical_formula_sum 'Ba2 Cd4 Ag10'
_cell_length_a 4.388
_cell_length_b 7.712
_cell_length_c 11.504
_cell_angle_alpha 90.00
_cell_angle_beta 90.00
_cell_angle_gamma 90.00
_symmetry_space_group_name_H-M 'I m m m'
_symmetry_Int_Tables_number 71
_symmetry_space_group_name_Hall '-I 2 2'
loop_
_atom_site_label
_atom_site_fract_x
_atom_site_fract_y
_atom_site_fract_z
Ba1 0.000 0.000 0.000
Cd1 0.000 0.500 0.248
Ag1 0.000 0.185 0.373
Ag2 0.000 0.500 0.000

=====

Record 7
# Ba2Cd12Ag7, optimized geometry, DFT PBE
# theoretical density	7.9	g/cm3
# calculated volume	23.8	Å³ per atom
# formation energy	-0.150	eV per atom
data_Ba2Cd12Ag7
_chemical_formula_sum 'Ba2 Cd12 Ag7'
_cell_length_a 11.0262
_cell_length_b 11.0262
_cell_length_c 4.7418
_cell_angle_alpha 90.00
_cell_angle_beta 90.00
_cell_angle_gamma 120.00
_symmetry_space_group_name_H-M 'P -6'
_symmetry_Int_Tables_number 174
loop_
_symmetry_equiv_pos_as_xyz
'x,y,z'
'-x+y,-x,-z'
'-y,x-y,z'
'x,y,-z'
'-x+y,-x,z'
'-y,x-y,-z'
loop_
_atom_site_label
_atom_site_fract_x
_atom_site_fract_y
_atom_site_fract_z
Ba1 0.0000 0.0000 0.0000
Ba2 0.3333 0.6667 0.5000
Cd1 0.0080 0.7233 0.5000
Cd2 0.1625 0.3892 0.0000
Cd3 0.3745 0.1670 0.0000
Cd4 0.5561 0.1450 0.5000
Ag1 0.0159 0.5465 0.0000
Ag2 0.2484 0.0013 0.5000
Ag3 0.6667 0.3333 0.0000

=====

Record 8
# Ba2CdAg, optimized geometry, DFT PBE
# theoretical density	4.8	g/cm3
# calculated volume	43.1	Å³ per atom
# formation energy	-0.157	eV per atom
data_Ba2CdAg
_chemical_formula_sum 'Ba6 Cd3 Ag3'
_cell_length_a 4.8019
_cell_length_b 4.8019
_cell_length_c 25.9283
_cell_angle_alpha 90.00
_cell_angle_beta 90.00
_cell_angle_gamma 120.00
_symmetry_space_group_name_H-M 'R 3 m'
_symmetry_Int_Tables_number 160
_symmetry_space_group_name_Hall 'R 3 -2"'
loop_
_atom_site_label
_atom_site_fract_x
_atom_site_fract_y
_atom_site_fract_z
Ba1 0.0000 0.0000 0.0000
Ba2 0.0000 0.0000 0.1815
Cd1 0.0000 0.0000 0.7572
Ag1 0.0000 0.0000 0.5920

=====

Record 9
# BaCdAg2, optimized geometry, DFT PBE
# theoretical density	6.7	g/cm3
# calculated volume	28.7	Å³ per atom
# formation energy	-0.056	eV per atom
data_BaCdAg2
_chemical_formula_sum 'Ba1 Cd1 Ag2'
_cell_length_a 3.737
_cell_length_b 4.765
_cell_length_c 6.571
_cell_angle_alpha 90.00
_cell_angle_beta 101.10
_cell_angle_gamma 90.00
_symmetry_space_group_name_H-M 'P 1 2/m 1'
_symmetry_Int_Tables_number 10
loop_
_symmetry_equiv_pos_as_xyz
'x,y,z'
'-x,-y,-z'
'-x,y,-z'
'x,-y,z'
loop_
_atom_site_label
_atom_site_fract_x
_atom_site_fract_y
_atom_site_fract_z
Ba1 0.000 0.000 0.000
Cd1 0.500 0.000 0.500
Ag1 0.334 0.500 0.692

=====

Record 10
# BaCdAg2, optimized geometry, DFT PBE
# theoretical density	6.7	g/cm3
# calculated volume	28.9	Å³ per atom
# formation energy	-0.245	eV per atom
data_BaCdAg2
_chemical_formula_sum 'Ba2 Cd2 Ag4'
_cell_length_a 4.9302
_cell_length_b 4.9302
_cell_length_c 10.9807
_cell_angle_alpha 90.00
_cell_angle_beta 90.00
_cell_angle_gamma 120.00
_symmetry_space_group_name_H-M 'P 63/m m c'
_symmetry_Int_Tables_number 194
_symmetry_space_group_name_Hall '-P 6c 2c'
loop_
_atom_site_label
_atom_site_fract_x
_atom_site_fract_y
_atom_site_fract_z
Ba1 0.3333 0.6667 0.2500
Cd1 0.0000 0.0000 0.0000
Ag1 0.3333 0.6667 0.5532

=====

Record 11
# BaCd3Ag4Cl12, optimized geometry, DFT PBE
# theoretical density	3.8	g/cm3
# calculated volume	29.5	Å³ per atom
# energy relative to the elements, uncorrected	-996	meV per atom
data_BaCd3Ag4Cl12
_chemical_formula_sum 'Ba3 Cd9 Ag12 Cl36'
_cell_length_a 14.3776
_cell_length_b 14.3776
_cell_length_c 9.8793
_cell_angle_alpha 90.00
_cell_angle_beta 90.00
_cell_angle_gamma 120.00
_symmetry_space_group_name_H-M 'R 3 2'
_symmetry_Int_Tables_number 155
_symmetry_space_group_name_Hall 'R 3 2"'
loop_
_atom_site_label
_atom_site_fract_x
_atom_site_fract_y
_atom_site_fract_z
Ba1 0.0000 0.0000 0.0000
Cd1 0.0000 0.5837 0.0000
Ag1 0.0000 0.0000 0.5000
Ag2 0.0000 0.3922 0.5000
Cl1 0.0000 0.5833 0.5000
Cl2 0.0000 0.8276 0.5000
Cl3 0.0651 0.2066 0.1873

=====

Record 12
# Ba2Cd6CuAg, optimized geometry, DFT PBE
# theoretical density	6.3	g/cm3
# calculated volume	29.4	Å³ per atom
# formation energy	-0.131	eV per atom
data_Ba2Cd6CuAg
_chemical_formula_sum 'Ba4 Cd12 Cu2 Ag2'
_cell_length_a 7.475
_cell_length_b 7.475
_cell_length_c 10.527
_cell_angle_alpha 90.00
_cell_angle_beta 90.00
_cell_angle_gamma 90.00
_symmetry_space_group_name_H-M 'I 4/m m m'
_symmetry_Int_Tables_number 139
_symmetry_space_group_name_Hall '-I 4 2'
loop_
_atom_site_label
_atom_site_fract_x
_atom_site_fract_y
_atom_site_fract_z
Ba1 0.000 0.500 0.250
Cd1 0.000 0.000 0.243
Cd2 0.243 0.243 0.000
Cu1 0.000 0.000 0.000
Ag1 0.000 0.000 0.500